## YSnF (PBE)

Data for a geometry-optimized YSnF structure.

Properties
Formation energy from raw total energies (eV per atom): -1.949
Polymorph energy (0 for the lowest one) (kJ/mol of formula units): 0.0

Cell lengths 5.981, 4.214, 5.988 Å; angles 90.00, 114.06, 90.00 degrees
Fractional coordinates of all 6 atoms:
Y: 0.162 0.250 0.338
Y: 0.838 0.750 0.662
Sn: 0.403 0.750 0.098
Sn: 0.597 0.250 0.902
F: 0.070 0.750 0.431
F: 0.930 0.250 0.569